# 1
This record from the Alexandria database describes crystalline LiHg2Os at its relaxed geometry. The functional is PBE.

The value obtained for the energy above the most stable polymorph in this dataset is 0.105 eV per atom. As for the total magnetization: 0.452 μB per formula unit. The value obtained for the total energy is -36.34 eV for the cell shown. The calculation puts the formation energy from the elements at 1.63 eV per formula unit. Its density of states at the Fermi level is 0.47 states/eV per atom.

It has space group R-3m (No. 166, hexagonal axes), with a = 2.9232 Å, b = 2.9232 Å, c = 28.5392 Å, α = 90.00°, β = 90.00° and γ = 120.00°. The inequivalent atoms are Li at (0.0000, 0.0000, 0.0000), Hg at (0.0000, 0.0000, 0.2528) and Os at (0.0000, 0.0000, 0.5000).


# 2
This record from the Alexandria database describes crystalline Ni2SI at its relaxed geometry. The functional is PBE.

The value obtained for the energy above the most stable polymorph in this dataset is 0.000 eV per atom. As for the total magnetization: 0.000 μB per formula unit. The value obtained for the total energy is -70.79 eV for the cell shown. Its density of states at the Fermi level is 1.94 states/eV per atom. The value obtained for the formation energy from raw total energies is -0.114 eV/atom.

It has space group I-42d (No. 122), with a = 5.3919 Å, b = 5.3919 Å, c = 10.9987 Å, α = 90.00°, β = 90.00° and γ = 90.00°. The inequivalent atoms are Ni at (0.1817, 0.2500, 0.1250), S at (0.0000, 0.0000, 0.0000) and I at (0.0000, 0.0000, 0.5000).


# 3
This record from the Alexandria database describes crystalline Zn12Cr at its relaxed geometry. The functional is PBE.

As for the total magnetization: 5.381 μB per formula unit. The value obtained for the total energy is -71.17 eV for the cell shown. The calculation puts the formation energy from the elements at 7.12 eV per formula unit. Its density of states at the Fermi level is 0.50 states/eV per atom.

It has space group Fm-3m (No. 225), with a = 10.6340 Å, b = 10.6340 Å, c = 10.6340 Å, α = 90.00°, β = 90.00° and γ = 90.00°. The inequivalent atoms are Zn at (0.0000, 0.1700, 0.1700) and Cr at (0.0000, 0.0000, 0.5000).


# 4
This record from the Alexandria database describes crystalline VCuSi2 at its relaxed geometry. The functional is PBE.

As for the total magnetization: 0.000 μB per formula unit. The value obtained for the total energy is -91.81 eV for the cell shown. Its density of states at the Fermi level is 0.51 states/eV per atom. The value obtained for the formation energy from raw total energies is 0.277 eV/atom.

It has space group I-42d (No. 122), with a = 6.4986 Å, b = 6.4986 Å, c = 5.3646 Å, α = 90.00°, β = 90.00° and γ = 90.00°. The inequivalent atoms are V at (0.0000, 0.0000, 0.0000), Cu at (0.0000, 0.0000, 0.5000) and Si at (0.2248, 0.7500, 0.6250).